# SrCaV2Co

A relaxed structure of SrCaV2Co (GGA-PBE, the Alexandria database).

Cell lengths 4.673, 5.288, 4.673 Å; angles 90.00, 90.00, 90.00 degrees
Site moments in Bohr magnetons follow the coordinates.
Sites, in units of the cell vectors:
1 Ca 0.000 0.500 0.000  -0.02
2 Sr 0.000 0.000 0.000  0.06
3 Co 0.500 0.500 0.500  0.11
4 V 0.000 0.000 0.500  1.25
5 V 0.500 0.000 0.000  1.64

Values from the calculation:
* DOS at the Fermi energy: 7.88 states/eV per cell
* total moment: 3.36 μB per formula unit
* ρ: 4149 kg/m³
* DFT total energy: -16.8 eV per formula unit

# Ce2PuMg

A relaxed structure of Ce2PuMg (GGA-PBE, the Alexandria database).

Cell lengths 3.594, 3.594, 10.000 Å; angles 79.65, 79.65, 60.00 degrees
Site moments in Bohr magnetons follow the coordinates.
Sites, in units of the cell vectors:
1 Pu 0.500 0.500 0.500  1.63
2 Ce 0.886 0.886 0.341  0.01
3 Ce 0.114 0.114 0.659  0.01
4 Mg 0.000 0.000 0.000  0.00

Values from the calculation:
* DOS at the Fermi energy: 9.08 states/eV per cell
* total moment: 1.60 μB per formula unit
* polymorph energy (0 for the lowest one): 406 meV/atom
* ρ: 8324 kg/m³
* DFT total energy: -25.9 eV per formula unit

# Ca2Ga9Pt6

A relaxed structure of Ca2Ga9Pt6 (GGA-PBE, the Alexandria database).

Cell lengths 5.582, 5.582, 12.268 Å; angles 90.00, 90.00, 120.00 degrees
Sites, in units of the cell vectors:
1 Ga 0.000 0.500 0.161
2 Ga 0.500 0.000 0.500
3 Ga 0.500 0.500 0.839
4 Pt 0.667 0.333 0.328
5 Pt 0.333 0.667 0.000
6 Ga 0.500 0.500 0.500
7 Pt 0.333 0.667 0.328
8 Pt 0.667 0.333 0.000
9 Ca 0.000 0.000 0.662
10 Pt 0.333 0.667 0.672
11 Ga 0.000 0.500 0.500
12 Ga 0.500 0.000 0.839
13 Pt 0.667 0.333 0.672
14 Ca 0.000 0.000 0.338
15 Ga 0.500 0.000 0.161
16 Ga 0.500 0.500 0.161
17 Ga 0.000 0.500 0.839

Values from the calculation:
* DOS at the Fermi energy: 5.78 states/eV per cell
* total moment: 0.00 μB per formula unit
* ρ: 9422 kg/m³
* DFT total energy: -76.9 eV per formula unit

# CaBe2Pd2

A relaxed structure of CaBe2Pd2 (GGA-PBE, the Alexandria database).

Cell lengths 7.064, 7.064, 2.882 Å; angles 90.00, 90.00, 90.00 degrees
Sites, in units of the cell vectors:
1 Ca 0.500 0.500 0.000
2 Pd 0.333 0.167 0.500
3 Pd 0.667 0.833 0.500
4 Pd 0.833 0.333 0.500
5 Ca 0.000 0.000 0.000
6 Be 0.386 0.886 0.000
7 Pd 0.167 0.667 0.500
8 Be 0.886 0.614 0.000
9 Be 0.114 0.386 0.000
10 Be 0.614 0.114 0.000

Values from the calculation:
* DOS at the Fermi energy: 2.83 states/eV per cell
* total moment: 0.00 μB per formula unit
* polymorph energy (0 for the lowest one): 42 meV/atom
* ρ: 6257 kg/m³
* DFT total energy: -21.9 eV per formula unit

# AcY12Tm6

A relaxed structure of AcY12Tm6 (GGA-PBE, the Alexandria database).

Cell lengths 9.247, 9.247, 9.247 Å; angles 106.85, 106.85, 106.85 degrees
Sites, in units of the cell vectors:
1 Y 0.500 0.112 0.888
2 Y 0.112 0.888 0.500
3 Y 0.156 0.382 0.382
4 Y 0.112 0.500 0.888
5 Y 0.382 0.156 0.382
6 Y 0.844 0.618 0.618
7 Tm 0.729 0.301 0.301
8 Y 0.888 0.500 0.112
9 Tm 0.301 0.729 0.301
10 Y 0.382 0.382 0.156
11 Tm 0.699 0.699 0.271
12 Y 0.888 0.112 0.500
13 Tm 0.271 0.699 0.699
14 Y 0.618 0.618 0.844
15 Tm 0.699 0.271 0.699
16 Y 0.500 0.888 0.112
17 Ac 0.000 0.000 0.000
18 Y 0.618 0.844 0.618
19 Tm 0.301 0.301 0.729

Values from the calculation:
* DOS at the Fermi energy: 24.85 states/eV per cell
* total moment: 0.00 μB per formula unit
* ρ: 5795 kg/m³
* DFT total energy: -100.6 eV per formula unit

# AcCeRuN4

A relaxed structure of AcCeRuN4 (GGA-PBE, the Alexandria database).

Cell lengths 3.883, 3.883, 7.116 Å; angles 105.84, 105.84, 90.00 degrees
Sites, in units of the cell vectors:
1 Ac 0.648 0.648 0.296
2 Ce 0.355 0.355 0.710
3 N 0.492 0.992 0.984
4 Ru 0.990 0.990 0.980
5 N 0.992 0.492 0.984
6 N 0.834 0.834 0.668
7 N 0.189 0.189 0.378

Values from the calculation:
* DOS at the Fermi energy: 3.68 states/eV per cell
* uncorrected formation energy: -15.96 kcal/mol of atoms
* total moment: 0.00 μB per formula unit
* ρ: 8793 kg/m³
* DFT total energy: -57.5 eV per formula unit

# RuPbBr2

A relaxed structure of RuPbBr2 (GGA-PBE, the Alexandria database).

Cell lengths 3.477, 4.598, 7.542 Å; angles 72.34, 90.00, 90.00 degrees
Sites, in units of the cell vectors:
1 Br 0.500 0.150 0.322
2 Ru 0.500 0.974 0.677
3 Br 0.000 0.853 0.921
4 Pb 0.000 0.523 0.580

Values from the calculation:
* DOS at the Fermi energy: 4.07 states/eV per cell
* uncorrected formation energy: 0.14 kcal/mol of atoms
* total moment: 0.00 μB per formula unit
* polymorph energy (0 for the lowest one): 23 meV/atom
* ρ: 6765 kg/m³
* DFT total energy: -16.3 eV per formula unit

# ZnPH2Ir

A relaxed structure of ZnPH2Ir (GGA-PBE, the Alexandria database).

Cell lengths 3.326, 5.882, 3.326 Å; angles 90.00, 90.00, 90.00 degrees
Sites, in units of the cell vectors:
1 Zn 0.000 0.000 0.000
2 H 0.000 0.000 0.500
3 P 0.500 0.500 0.500
4 H 0.500 0.000 0.000
5 Ir 0.000 0.500 0.000

Values from the calculation:
* DOS at the Fermi energy: 1.33 states/eV per cell
* total moment: 0.00 μB per formula unit
* ρ: 7417 kg/m³
* DFT total energy: -20.5 eV per formula unit